Record 1
{
  "formula": "Np2AsN",
  "functional": "PBE",
  "state": "optimized geometry",
  "e_above_lowest_polymorph_mev_per_atom": 13.1,
  "space_group": "R-3m",
  "lattice": [[3.7180, 0.0000, 0.0000], [1.8590, 3.2198, 0.0000], [1.8590, 1.0733, 6.3304]],
  "species": ["Np", "Np", "As", "N"],
  "frac_coords": [[0.7663, 0.7663, 0.7010], [0.2337, 0.2337, 0.2990], [0.0000, 0.0000, 0.0000], [0.5000, 0.5000, 0.5000]]
}

Record 2
{
  "formula": "Np2AsN",
  "functional": "PBE",
  "state": "optimized geometry",
  "e_above_lowest_polymorph_mev_per_atom": 207.7,
  "space_group": "R3m",
  "lattice": [[-2.4801, -0.6010, 2.6185], [0.8025, -2.2001, 2.8078], [1.7817, 4.2758, 5.2216]],
  "species": ["Np", "Np", "As", "N"],
  "frac_coords": [[0.0985, 0.0985, 0.7045], [0.2379, 0.2379, 0.2864], [0.6691, 0.6691, 0.9926], [0.4945, 0.4945, 0.5164]]
}

Record 3
{
  "formula": "NpAsN2",
  "functional": "PBE",
  "state": "optimized geometry",
  "space_group": "R-3m",
  "lattice": [[-1.4444, 1.7542, -2.6675], [-3.0829, 1.6102, 0.4266], [1.4302, 6.2730, 1.0492]],
  "species": ["Np", "As", "N", "N"],
  "frac_coords": [[0.5000, 0.5000, 0.5000], [0.0000, 0.0000, 0.0000], [0.1167, 0.1167, 0.6499], [0.8833, 0.8833, 0.3501]]
}

Record 4
{
  "formula": "NpAsN",
  "functional": "PBE",
  "state": "optimized geometry",
  "e_above_lowest_polymorph_mev_per_atom": 247.3,
  "space_group": "P-6m2",
  "lattice": [[-1.5794, -2.2466, 3.1384], [2.9098, 0.9236, 2.1256], [-3.0485, 2.1318, -0.0082]],
  "species": ["Np", "As", "N"],
  "frac_coords": [[0.1667, 0.6667, 0.3333], [0.6667, 0.3333, 0.6667], [0.1667, 0.0000, 0.0000]]
}

Record 5
{
  "formula": "NpPaAsN2",
  "functional": "PBE",
  "state": "optimized geometry",
  "space_group": "I4mm",
  "lattice": [[-3.7069, -0.2689, -0.8788], [0.3423, -3.7932, -0.2829], [0.3509, 1.4795, 6.3654]],
  "species": ["Np", "Pa", "As", "N", "N"],
  "frac_coords": [[0.8494, 0.8494, 0.6988], [0.1500, 0.1500, 0.3000], [0.5019, 0.5019, 0.0038], [0.7494, 0.2494, 0.4987], [0.2494, 0.7494, 0.4987]]
}

Record 6
{
  "formula": "NpPa2As2N2",
  "functional": "PBE",
  "state": "optimized geometry",
  "space_group": "C2/m",
  "lattice": [[-3.4578, -1.7835, 0.1222], [-1.2508, -1.4086, 6.0465], [-4.2112, 4.1268, 3.0678]],
  "species": ["Np", "Pa", "Pa", "As", "As", "N", "N"],
  "frac_coords": [[0.0000, 0.0000, 0.0000], [0.1906, 0.3601, 0.2586], [0.8094, 0.6399, 0.7414], [0.5689, 0.2098, 0.6525], [0.4311, 0.7902, 0.3475], [0.2108, 0.6673, 0.9111], [0.7892, 0.3327, 0.0889]]
}

Record 7
{
  "formula": "NpAsPdN",
  "functional": "PBE",
  "state": "optimized geometry",
  "space_group": "I4mm",
  "lattice": [[-2.7132, -1.6841, 0.8150], [0.2331, -1.7288, -2.7962], [4.7211, -2.5022, 3.8827]],
  "species": ["Np", "As", "Pd", "N"],
  "frac_coords": [[0.6262, 0.6262, 0.2523], [0.9122, 0.9122, 0.8244], [0.3251, 0.3251, 0.6503], [0.1486, 0.1486, 0.2972]]
}

Record 8
{
  "formula": "PuNp2As2N2",
  "functional": "PBE",
  "state": "optimized geometry",
  "space_group": "C2/m",
  "lattice": [[3.8371, 0.0000, 0.0000], [1.9186, 6.0119, 0.0881], [1.9186, 2.3520, 5.9083]],
  "species": ["Pu", "Np", "Np", "As", "As", "N", "N"],
  "frac_coords": [[0.0000, 0.0000, 0.0000], [0.1885, 0.3685, 0.2545], [0.8115, 0.6315, 0.7455], [0.5615, 0.2260, 0.6510], [0.4385, 0.7740, 0.3490], [0.2100, 0.6718, 0.9083], [0.7900, 0.3282, 0.0917]]
}

Table of uncorrected formation energy (kJ/mol of atoms), in record order: -75.7; -56.9; -36.6; -57.8; -126.7; -121.6; -48.5; -88.4
Table of total magnetization (μB per formula unit), in record order: 7.460; 7.966; 1.840; 1.242; 2.999; 4.953; 3.379; 1.451
Table of DOS(E_F) (states/eV per cell), in record order: 11.7; 7.7; 5.8; 4.3; 8.9; 10.1; 5.0; 24.5